1.
Density functional theory data (PBE) for crystalline CuGe2Pt2 at its relaxed geometry.

a = 7.0715 Å, b = 7.0715 Å, c = 3.2816 Å
α = 90.00°, β = 90.00°, γ = 90.00°
Element x y z (fractional)
Ge 0.1581 0.6581 0.5000
Ge 0.6581 0.8419 0.5000
Ge 0.8419 0.3419 0.5000
Ge 0.3419 0.1581 0.5000
Cu 0.0000 0.0000 0.0000
Cu 0.5000 0.5000 0.0000
Pt 0.3545 0.8545 0.0000
Pt 0.8545 0.6455 0.0000
Pt 0.6455 0.1455 0.0000
Pt 0.1455 0.3545 0.0000

---

2.
Density functional theory data (PBE) for crystalline CuGe2Pt2 at its relaxed geometry.

a = 3.8326 Å, b = 3.8326 Å, c = 6.5347 Å
α = 72.95°, β = 72.95°, γ = 90.00°
Element x y z (fractional)
Ge 0.7500 0.2500 0.5000
Ge 0.2500 0.7500 0.5000
Cu 0.0000 0.0000 0.0000
Pt 0.3888 0.3888 0.2224
Pt 0.6112 0.6112 0.7776

---

Energies relative to the most stable structure, in meV/atom: 1 0; 2 99.

---

1.
Density functional theory data (PBE) for crystalline CuGe2Pt at its relaxed geometry.

a = 6.1977 Å, b = 6.1977 Å, c = 6.0697 Å
α = 59.30°, β = 59.30°, γ = 90.00°
Element x y z (fractional)
Ge 0.6208 0.1250 0.2500
Ge 0.1292 0.6250 0.2500
Ge 0.3750 0.3792 0.7500
Ge 0.8750 0.8708 0.7500
Cu 0.5000 0.5000 0.0000
Cu 0.2500 0.7500 0.5000
Pt 0.0000 0.0000 0.0000
Pt 0.7500 0.2500 0.5000

---

2.
Density functional theory data (PBE) for crystalline CuGe2Pt at its relaxed geometry.

a = 3.1861 Å, b = 3.1861 Å, c = 8.5069 Å
α = 79.21°, β = 79.21°, γ = 60.00°
Element x y z (fractional)
Ge 0.0937 0.0937 0.7189
Ge 0.9063 0.9063 0.2811
Cu 0.0000 0.0000 0.0000
Pt 0.5000 0.5000 0.5000

---

3.
Density functional theory data (PBE) for crystalline CuGe2Pt at its relaxed geometry.

a = 4.4704 Å, b = 4.4704 Å, c = 4.4704 Å
α = 60.00°, β = 60.00°, γ = 60.00°
Element x y z (fractional)
Ge 0.2500 0.2500 0.2500
Ge 0.7500 0.7500 0.7500
Cu 0.0000 0.0000 0.0000
Pt 0.5000 0.5000 0.5000

---

Energies relative to the most stable structure, in meV/atom: 1 134; 2 49; 3 0.

---

1.
Density functional theory data (PBE) for crystalline Cu3GePt at its relaxed geometry.

a = 4.7643 Å, b = 6.6544 Å, c = 4.7570 Å
α = 90.00°, β = 90.00°, γ = 110.97°
Element x y z (fractional)
Cu 0.4043 0.2986 0.7500
Cu 0.8943 0.2986 0.7500
Cu 0.1057 0.7014 0.2500
Cu 0.5957 0.7014 0.2500
Cu 0.0000 0.0000 0.0000
Cu 0.0000 0.0000 0.5000
Ge 0.8244 0.6488 0.7500
Ge 0.1756 0.3512 0.2500
Pt 0.4294 0.8588 0.7500
Pt 0.5706 0.1412 0.2500

---

2.
Density functional theory data (PBE) for crystalline Cu3GePt at its relaxed geometry.

a = 3.7376 Å, b = 7.4368 Å, c = 5.2572 Å
α = 79.78°, β = 89.99°, γ = 90.06°
Element x y z (fractional)
Cu 0.5430 0.9701 0.6371
Cu 0.5438 0.3314 0.0416
Cu 0.0434 0.1428 0.3404
Cu 0.0426 0.7883 0.9376
Cu 0.5438 0.3212 0.5398
Cu 0.5430 0.9659 0.1394
Ge 0.5417 0.6138 0.7128
Ge 0.0442 0.4874 0.2487
Pt 0.0423 0.7769 0.4377
Pt 0.0433 0.1454 0.8418

---

3.
Density functional theory data (PBE) for crystalline Cu3GePt at its relaxed geometry.

a = 4.3827 Å, b = 4.3827 Å, c = 4.3827 Å
α = 90.00°, β = 90.00°, γ = 90.00°
Element x y z (fractional)
Ge 0.0000 0.0000 0.0000
Cu 0.0000 0.5000 0.0000
Cu 0.0000 0.0000 0.5000
Cu 0.5000 0.0000 0.0000
Pt 0.5000 0.5000 0.5000

---

Energies relative to the most stable structure, in meV/atom: 1 98; 2 0; 3 811.